[1]
Density functional theory data (PBE) for an optimized crystal structure of SmEr2TmSc2.

* formation enthalpy at 0 K: 0.0758 eV/atom
* magnetization: 0.00 μB per cell

Structure (CIF):
```
data_SmEr2TmSc2
_chemical_formula_sum 'Sm2 Er4 Tm2 Sc4'
_cell_length_a 6.750
_cell_length_b 9.434
_cell_length_c 5.435
_cell_angle_alpha 90.00
_cell_angle_beta 90.00
_cell_angle_gamma 90.00
_space_group_name_H-M_alt 'P n n m'
_space_group_IT_number 58
loop_
_space_group_symop_operation_xyz
'x,y,z'
'-x,-y,-z'
'-x,-y,z'
'x,y,-z'
'x+1/2,-y+1/2,-z+1/2'
'-x+1/2,y+1/2,z+1/2'
'-x+1/2,y+1/2,-z+1/2'
'x+1/2,-y+1/2,z+1/2'
loop_
_atom_site_label
_atom_site_type_symbol
_atom_site_fract_x
_atom_site_fract_y
_atom_site_fract_z
_atom_site_occupancy
Sm1 Sm 0.000 0.000 0.000 1
Er1 Er 0.248 0.333 0.000 1
Tm1 Tm 0.000 0.500 0.500 1
Sc1 Sc 0.250 0.167 0.500 1
```


[2]
Density functional theory data (PBE) for an optimized crystal structure of SmEr2Tm4Sc.

* formation enthalpy at 0 K: 0.0371 eV/atom
* magnetization: 0.00 μB per cell

Structure (CIF):
```
data_SmEr2Tm4Sc
_chemical_formula_sum 'Sm1 Er2 Tm4 Sc1'
_cell_length_a 4.921
_cell_length_b 4.921
_cell_length_c 9.865
_cell_angle_alpha 90.00
_cell_angle_beta 90.00
_cell_angle_gamma 90.00
_space_group_name_H-M_alt 'P 4/m m m'
_space_group_IT_number 123
_space_group_name_Hall '-P 4 2'
loop_
_atom_site_label
_atom_site_type_symbol
_atom_site_fract_x
_atom_site_fract_y
_atom_site_fract_z
_atom_site_occupancy
Sm1 Sm 0.000 0.000 0.000 1
Er1 Er 0.000 0.000 0.500 1
Er2 Er 0.500 0.500 0.000 1
Tm1 Tm 0.000 0.500 0.256 1
Sc1 Sc 0.500 0.500 0.500 1
```


[3]
Density functional theory data (PBE) for an optimized crystal structure of SmEr6Tm2Sc.

* formation enthalpy at 0 K: 0.1301 eV/atom
* magnetization: 0.00 μB per cell

Structure (CIF):
```
data_SmEr6Tm2Sc
_chemical_formula_sum 'Sm4 Er24 Tm8 Sc4'
_cell_length_a 9.012
_cell_length_b 14.705
_cell_length_c 9.269
_cell_angle_alpha 90.00
_cell_angle_beta 96.32
_cell_angle_gamma 90.00
_space_group_name_H-M_alt 'C 1 2/c 1'
_space_group_IT_number 15
loop_
_space_group_symop_operation_xyz
'x,y,z'
'-x,-y,-z'
'-x,y,-z+1/2'
'x,-y,z+1/2'
'x+1/2,y+1/2,z'
'-x+1/2,-y+1/2,-z'
'-x+1/2,y+1/2,-z+1/2'
'x+1/2,-y+1/2,z+1/2'
loop_
_atom_site_label
_atom_site_type_symbol
_atom_site_fract_x
_atom_site_fract_y
_atom_site_fract_z
_atom_site_occupancy
Sm1 Sm 0.000 0.026 0.250 1
Er1 Er 0.060 0.185 0.944 1
Er2 Er 0.098 0.391 0.114 1
Er3 Er 0.217 0.223 0.313 1
Tm1 Tm 0.245 0.448 0.450 1
Sc1 Sc 0.000 0.414 0.750 1
```


[4]
Density functional theory data (PBE) for an optimized crystal structure of SmErTm2Sc.

* formation enthalpy at 0 K: 0.3400 eV/atom
* magnetization: 0.00 μB per cell

Structure (CIF):
```
data_SmErTm2Sc
_chemical_formula_sum 'Sm4 Er4 Tm8 Sc4'
_cell_length_a 8.105
_cell_length_b 11.127
_cell_length_c 7.041
_cell_angle_alpha 90.00
_cell_angle_beta 90.00
_cell_angle_gamma 90.00
_space_group_name_H-M_alt 'C m c m'
_space_group_IT_number 63
_space_group_name_Hall '-C 2c 2'
loop_
_atom_site_label
_atom_site_type_symbol
_atom_site_fract_x
_atom_site_fract_y
_atom_site_fract_z
_atom_site_occupancy
Sm1 Sm 0.000 0.230 0.250 1
Er1 Er 0.000 0.230 0.750 1
Tm1 Tm 0.196 0.000 0.000 1
Sc1 Sc 0.000 0.497 0.250 1
```